Here is a relaxed structure of LiTi2S3 from the Alexandria database. Energies are from PBE.

a = 8.0339 Å, b = 8.0339 Å, c = 4.9502 Å
α = 90.46°, β = 90.46°, γ = 35.55°
Fractional coordinates of all 12 atoms:
Li  0.0711  0.0711  0.2527
Li  0.9289  0.9289  0.7473
Ti  0.2531  0.2531  0.7822
Ti  0.3989  0.3989  0.2415
Ti  0.6011  0.6011  0.7585
Ti  0.7469  0.7469  0.2178
S  0.0906  0.0906  0.7565
S  0.2417  0.2417  0.2732
S  0.4192  0.4192  0.7464
S  0.5808  0.5808  0.2536
S  0.7583  0.7583  0.7268
S  0.9094  0.9094  0.2435

Values from the calculation:
For the raw formation energy, the calculation gives -1.3353 eV/atom. As for the space-group type: C2/m (12). For the density of states at the Fermi level, the calculation gives 8.12 states/eV/cell. The uncorrected energy comes out at -6.350 eV per atom.